1.
Compound: La6Ho5Tm
Source: Alexandria
Functional: GGA-PBE
Structure: relaxed

abc: 9.642 9.642 6.175
angles: 92.88 92.88 45.18
Fractional positions:
La: 0.083 0.584 0.334
La: 0.249 0.751 0.000
La: 0.416 0.917 0.666
La: 0.584 0.083 0.334
La: 0.751 0.249 0.000
La: 0.917 0.416 0.666
Ho: 0.167 0.167 0.167
Ho: 0.333 0.333 0.834
Ho: 0.500 0.500 0.500
Ho: 0.667 0.667 0.166
Ho: 0.833 0.833 0.833
Tm: 0.000 0.000 0.500

Output
- space-group type = C2/m (12)
- energy relative to the lowest polymorph listed for this composition (meV per atom) = 2
- DFT total energy (eV per atom) = -4.719
- formation energy from the elements (eV/atom) = 0.025
- M_tot (μB per cell) = 0.000

=====

2.
Compound: La6HoTm3
Source: Alexandria
Functional: GGA-PBE
Structure: relaxed

abc: 9.057 9.057 9.057
angles: 80.01 80.01 80.01
Fractional positions:
La: 0.037 0.037 0.332
La: 0.037 0.332 0.037
La: 0.213 0.213 0.592
La: 0.213 0.592 0.213
La: 0.332 0.037 0.037
La: 0.408 0.787 0.787
La: 0.592 0.213 0.213
La: 0.668 0.963 0.963
La: 0.787 0.408 0.787
La: 0.787 0.787 0.408
La: 0.963 0.668 0.963
La: 0.963 0.963 0.668
Ho: 0.000 0.000 0.000
Ho: 0.500 0.500 0.500
Tm: 0.137 0.607 0.607
Tm: 0.393 0.393 0.863
Tm: 0.393 0.863 0.393
Tm: 0.607 0.137 0.607
Tm: 0.607 0.607 0.137
Tm: 0.863 0.393 0.393

Output
- space-group type = R-3m (166)
- energy relative to the lowest polymorph listed for this composition (meV per atom) = 53
- DFT total energy (eV per atom) = -4.516
- formation energy from the elements (eV/atom) = 0.240
- M_tot (μB per cell) = 0.001

=====

3.
Compound: La11Ho4Tm9
Source: Alexandria
Functional: GGA-PBE
Structure: relaxed

abc: 15.484 15.484 3.690
angles: 90.00 90.00 113.13
Fractional positions:
La: 0.000 0.000 0.000
La: 0.042 0.404 0.000
La: 0.160 0.840 0.000
La: 0.292 0.292 0.000
La: 0.368 0.632 0.000
La: 0.404 0.042 0.000
La: 0.596 0.958 0.000
La: 0.632 0.368 0.000
La: 0.708 0.708 0.000
La: 0.840 0.160 0.000
La: 0.958 0.596 0.000
Ho: 0.241 0.444 0.500
Ho: 0.444 0.241 0.500
Ho: 0.556 0.759 0.500
Ho: 0.759 0.556 0.500
Tm: 0.069 0.214 0.500
Tm: 0.167 0.631 0.500
Tm: 0.214 0.069 0.500
Tm: 0.369 0.833 0.500
Tm: 0.500 0.500 0.500
Tm: 0.631 0.167 0.500
Tm: 0.786 0.931 0.500
Tm: 0.833 0.369 0.500
Tm: 0.931 0.786 0.500

Output
- space-group type = Cmmm (65)
- DFT total energy (eV per atom) = -4.627
- formation energy from the elements (eV/atom) = 0.071
- M_tot (μB per cell) = 0.000

=====

4.
Compound: La12Ho7Tm
Source: Alexandria
Functional: GGA-PBE
Structure: relaxed

abc: 11.513 11.513 11.513
angles: 116.69 116.69 116.69
Fractional positions:
La: 0.000 0.408 0.592
La: 0.000 0.592 0.408
La: 0.073 0.073 0.427
La: 0.073 0.427 0.073
La: 0.408 0.000 0.592
La: 0.408 0.592 0.000
La: 0.427 0.073 0.073
La: 0.573 0.927 0.927
La: 0.592 0.000 0.408
La: 0.592 0.408 0.000
La: 0.927 0.573 0.927
La: 0.927 0.927 0.573
Ho: 0.000 0.000 0.000
Ho: 0.140 0.386 0.386
Ho: 0.386 0.140 0.386
Ho: 0.386 0.386 0.140
Ho: 0.614 0.614 0.860
Ho: 0.614 0.860 0.614
Ho: 0.860 0.614 0.614
Tm: 0.500 0.500 0.500

Output
- space-group type = R-3m (166)
- energy relative to the lowest polymorph listed for this composition (meV per atom) = 0
- DFT total energy (eV per atom) = -4.595
- formation energy from the elements (eV/atom) = 0.188
- M_tot (μB per cell) = 0.000